# 1
SrZr2SnS | GGA-PBE | relaxed

Cell: 5.2448 5.2448 5.6562 Å, 90.00 90.00 90.00°
Space group P4/mmm (No. 123)
One atom of each set of equivalent atoms:
Sr1 0.0000 0.0000 0.0000
Zr1 0.0000 0.5000 0.0000
Sn1 0.0000 0.0000 0.5000
S1 0.5000 0.5000 0.5000

Properties
**Formation energy without anion corrections**: 826 kJ/mol of formula units



# 2
DyEr6Tl | GGA-PBE | relaxed

Cell: 4.8689 4.8689 9.9341 Å, 90.00 90.00 90.00°
Space group P4/mmm (No. 123)
One atom of each set of equivalent atoms:
Dy1 0.0000 0.0000 0.0000
Er1 0.0000 0.5000 0.2538
Er2 0.5000 0.5000 0.0000
Er3 0.5000 0.5000 0.5000
Tl1 0.0000 0.0000 0.5000

Properties
**Distance to the lowest polymorph of the same formula**: 0.0 meV per atom



# 3
K2CdTeH | GGA-PBE | relaxed

Cell: 6.6789 6.6789 5.6871 Å, 90.00 90.00 90.00°
Space group P4/mmm (No. 123)
One atom of each set of equivalent atoms:
K1 0.0000 0.5000 0.0000
Cd1 0.0000 0.0000 0.5000
Te1 0.0000 0.0000 0.0000
H1 0.5000 0.5000 0.5000

Properties
**Distance to the lowest polymorph of the same formula**: 298.1 meV per atom



# 4
Pu2ScGe4Pt3 | GGA-PBE | relaxed

Cell: 4.2227 4.2227 11.0750 Å, 90.00 90.00 90.00°
Space group P-4m2 (No. 115)
One atom of each set of equivalent atoms:
Pu1 0.0000 0.5000 0.2432
Sc1 0.0000 0.0000 0.5000
Ge1 0.0000 0.0000 0.0000
Ge2 0.0000 0.5000 0.6514
Ge3 0.5000 0.5000 0.0000
Pt1 0.0000 0.5000 0.8750
Pt2 0.5000 0.5000 0.5000

Properties
**Total energy**: -7.89 eV per atom